1.
First-principles (SCAN) data for a PBEsol-optimized structure of ScAlTc2Pt, as listed in Alexandria via LeMat-Bulk.

As for the crystal system: tetragonal. As for the magnetization: 3.7 μB/f.u. Its calculated formation energy is 1.398 eV/atom.

It has space group P4/mmm (No. 123), with a = 4.5159 Å, b = 4.5159 Å, c = 4.6938 Å, α = 90.00°, β = 90.00° and γ = 90.00°. The inequivalent atoms are Sc at (0.0000, 0.0000, 0.0000), Al at (0.5000, 0.5000, 0.5000), Tc at (0.0000, 0.5000, 0.0000) and Pt at (0.0000, 0.0000, 0.5000).



2.
First-principles (SCAN) data for a PBEsol-optimized structure of AlPt2Se, as listed in Alexandria via LeMat-Bulk.

The value obtained for the formation energy (no corrections) is -469 meV/atom. As for the crystal system: orthorhombic. As for the magnetization: 0.0 μB/f.u.

It has space group Pmmm (No. 47), with a = 2.8467 Å, b = 3.1954 Å, c = 6.8979 Å, α = 90.00°, β = 90.00° and γ = 90.00°. The inequivalent atoms are Al at (0.0000, 0.0000, 0.0000), Pt at (0.5000, 0.5000, 0.2086) and Se at (0.0000, 0.0000, 0.5000).



3.
First-principles (SCAN) data for a PBEsol-optimized structure of AlPt2Se, as listed in Alexandria via LeMat-Bulk.

The value obtained for the formation energy (no corrections) is -181 meV/atom. As for the crystal system: cubic. As for the magnetization: 0.0 μB/f.u.

It has space group Fm-3m (No. 225), with a = 6.2954 Å, b = 6.2954 Å, c = 6.2954 Å, α = 90.00°, β = 90.00° and γ = 90.00°. The inequivalent atoms are Al at (0.0000, 0.0000, 0.0000), Pt at (0.2500, 0.2500, 0.2500) and Se at (0.0000, 0.0000, 0.5000).